No. 1
# Ba2Al4AgGe3

A geometry-optimized Ba2Al4AgGe3 structure (GGA-PBE, the Alexandria database).

The structure in CIF format:
```
data_Ba2Al4AgGe3
_space_group_name_H-M_alt 'P -4 m 2'
_space_group_IT_number 115
_cell_length_a 4.690
_cell_length_b 4.690
_cell_length_c 10.655
_cell_angle_alpha 90.00
_cell_angle_beta 90.00
_cell_angle_gamma 90.00
loop_
_space_group_symop_operation_xyz
'x,y,z'
'y,-x,-z'
'-x,-y,z'
'-y,x,-z'
'-x,y,z'
'-y,-x,-z'
'x,-y,z'
'y,x,-z'
loop_
_atom_site_label
_atom_site_fract_x
_atom_site_fract_y
_atom_site_fract_z
Ba1 0.000 0.500 0.247
Al1 0.000 0.000 0.500
Al2 0.000 0.500 0.880
Al3 0.500 0.500 0.500
Ag1 0.500 0.500 0.000
Ge1 0.000 0.000 0.000
Ge2 0.000 0.500 0.625
```

Results
Crystal system: tetragonal
Formation energy: -29.8 kJ per mole of atoms

No. 2
# Ba2AlAg3Ge4

A geometry-optimized Ba2AlAg3Ge4 structure (GGA-PBE, the Alexandria database).

The structure in CIF format:
```
data_Ba2AlAg3Ge4
_space_group_name_H-M_alt 'P -4 m 2'
_space_group_IT_number 115
_cell_length_a 4.539
_cell_length_b 4.539
_cell_length_c 11.394
_cell_angle_alpha 90.00
_cell_angle_beta 90.00
_cell_angle_gamma 90.00
loop_
_space_group_symop_operation_xyz
'x,y,z'
'y,-x,-z'
'-x,-y,z'
'-y,x,-z'
'-x,y,z'
'-y,-x,-z'
'x,-y,z'
'y,x,-z'
loop_
_atom_site_label
_atom_site_fract_x
_atom_site_fract_y
_atom_site_fract_z
Ba1 0.000 0.500 0.250
Al1 0.000 0.000 0.500
Ag1 0.000 0.500 0.869
Ag2 0.500 0.500 0.500
Ge1 0.000 0.000 0.000
Ge2 0.000 0.500 0.631
Ge3 0.500 0.500 0.000
```

Results
Crystal system: tetragonal
Formation energy: -30.8 kJ per mole of atoms

No. 3
# Ba2AlAgHg6

A geometry-optimized Ba2AlAgHg6 structure (GGA-PBE, the Alexandria database).

The structure in CIF format:
```
data_Ba2AlAgHg6
_space_group_name_H-M_alt 'P -1'
_space_group_IT_number 2
_cell_length_a 6.403
_cell_length_b 7.254
_cell_length_c 7.497
_cell_angle_alpha 75.91
_cell_angle_beta 70.32
_cell_angle_gamma 68.45
loop_
_space_group_symop_operation_xyz
'x,y,z'
'-x,-y,-z'
loop_
_atom_site_label
_atom_site_fract_x
_atom_site_fract_y
_atom_site_fract_z
Ba1 0.219 0.237 0.296
Al1 0.000 0.000 0.000
Ag1 0.500 0.500 0.500
Hg1 0.214 0.761 0.271
Hg2 0.272 0.617 0.886
Hg3 0.294 0.212 0.775
```

Results
Crystal system: triclinic
Formation energy: -23.4 kJ per mole of atoms

No. 4
# BaAlAg2Hg

A geometry-optimized BaAlAg2Hg structure (GGA-PBE, the Alexandria database).

The structure in CIF format:
```
data_BaAlAg2Hg
_space_group_name_H-M_alt 'P 4/m m m'
_space_group_IT_number 123
_space_group_name_Hall '-P 4 2'
_cell_length_a 5.344
_cell_length_b 5.344
_cell_length_c 6.214
_cell_angle_alpha 90.00
_cell_angle_beta 90.00
_cell_angle_gamma 90.00
loop_
_atom_site_label
_atom_site_fract_x
_atom_site_fract_y
_atom_site_fract_z
Ba1 0.000 0.000 0.000
Al1 0.500 0.500 0.000
Ag1 0.000 0.500 0.500
Hg1 0.000 0.000 0.500
```

Results
Crystal system: tetragonal
Relative energy among the computed polymorphs: 599 meV/atom
Formation energy: 42.5 kJ per mole of atoms

No. 5
# BaAlAg2Hg

A geometry-optimized BaAlAg2Hg structure (GGA-PBE, the Alexandria database).

The structure in CIF format:
```
data_BaAlAg2Hg
_space_group_name_H-M_alt 'P 4/m m m'
_space_group_IT_number 123
_space_group_name_Hall '-P 4 2'
_cell_length_a 5.128
_cell_length_b 5.128
_cell_length_c 5.296
_cell_angle_alpha 90.00
_cell_angle_beta 90.00
_cell_angle_gamma 90.00
loop_
_atom_site_label
_atom_site_fract_x
_atom_site_fract_y
_atom_site_fract_z
Ba1 0.000 0.000 0.000
Al1 0.500 0.500 0.500
Ag1 0.000 0.500 0.500
Hg1 0.500 0.500 0.000
```

Results
Crystal system: tetragonal
Relative energy among the computed polymorphs: 0 meV/atom
Formation energy: -15.4 kJ per mole of atoms

No. 6
# Ba2AlIn4Ag3

A geometry-optimized Ba2AlIn4Ag3 structure (GGA-PBE, the Alexandria database).

The structure in CIF format:
```
data_Ba2AlIn4Ag3
_space_group_name_H-M_alt 'P -4 m 2'
_space_group_IT_number 115
_cell_length_a 4.796
_cell_length_b 4.796
_cell_length_c 11.948
_cell_angle_alpha 90.00
_cell_angle_beta 90.00
_cell_angle_gamma 90.00
loop_
_space_group_symop_operation_xyz
'x,y,z'
'y,-x,-z'
'-x,-y,z'
'-y,x,-z'
'-x,y,z'
'-y,-x,-z'
'x,-y,z'
'y,x,-z'
loop_
_atom_site_label
_atom_site_fract_x
_atom_site_fract_y
_atom_site_fract_z
Ba1 0.000 0.500 0.246
Al1 0.500 0.500 0.000
In1 0.000 0.000 0.500
In2 0.000 0.500 0.871
In3 0.500 0.500 0.500
Ag1 0.000 0.000 0.000
Ag2 0.000 0.500 0.635
```

Results
Crystal system: tetragonal
Formation energy: -27.4 kJ per mole of atoms

No. 7
# BaAl2InAg

A geometry-optimized BaAl2InAg structure (GGA-PBE, the Alexandria database).

The structure in CIF format:
```
data_BaAl2InAg
_space_group_name_H-M_alt 'P 4/m m m'
_space_group_IT_number 123
_space_group_name_Hall '-P 4 2'
_cell_length_a 6.073
_cell_length_b 6.073
_cell_length_c 6.399
_cell_angle_alpha 90.00
_cell_angle_beta 90.00
_cell_angle_gamma 90.00
loop_
_atom_site_label
_atom_site_fract_x
_atom_site_fract_y
_atom_site_fract_z
Ba1 0.000 0.000 0.000
Al1 0.000 0.500 0.000
In1 0.000 0.000 0.500
Ag1 0.500 0.500 0.500
```

Results
Crystal system: tetragonal
Formation energy: 131.9 kJ per mole of atoms

No. 8
# BaAlIn2Ag4

A geometry-optimized BaAlIn2Ag4 structure (GGA-PBE, the Alexandria database).

The structure in CIF format:
```
data_BaAlIn2Ag4
_space_group_name_H-M_alt 'R -3 m'
_space_group_IT_number 166
_space_group_name_Hall '-R 3 2"'
_cell_length_a 4.7321
_cell_length_b 4.7321
_cell_length_c 29.8214
_cell_angle_alpha 90.00
_cell_angle_beta 90.00
_cell_angle_gamma 120.00
loop_
_atom_site_label
_atom_site_fract_x
_atom_site_fract_y
_atom_site_fract_z
Ba1 0.0000 0.0000 0.0000
Al1 0.0000 0.0000 0.5000
In1 0.0000 0.0000 0.2447
Ag1 0.0000 0.0000 0.1420
Ag2 0.0000 0.0000 0.4110
```

Results
Crystal system: trigonal
Formation energy: -13.4 kJ per mole of atoms

No. 9
# BaAl2InAg4

A geometry-optimized BaAl2InAg4 structure (GGA-PBE, the Alexandria database).

The structure in CIF format:
```
data_BaAl2InAg4
_space_group_name_H-M_alt 'R -3 m'
_space_group_IT_number 166
_space_group_name_Hall '-R 3 2"'
_cell_length_a 4.5660
_cell_length_b 4.5660
_cell_length_c 31.0014
_cell_angle_alpha 90.00
_cell_angle_beta 90.00
_cell_angle_gamma 120.00
loop_
_atom_site_label
_atom_site_fract_x
_atom_site_fract_y
_atom_site_fract_z
Ba1 0.0000 0.0000 0.0000
Al1 0.0000 0.0000 0.2426
In1 0.0000 0.0000 0.5000
Ag1 0.0000 0.0000 0.1230
Ag2 0.0000 0.0000 0.4087
```

Results
Crystal system: trigonal
Formation energy: -8.7 kJ per mole of atoms

No. 10
# Ba2Al4In3Ag

A geometry-optimized Ba2Al4In3Ag structure (GGA-PBE, the Alexandria database).

The structure in CIF format:
```
data_Ba2Al4In3Ag
_space_group_name_H-M_alt 'P -4 m 2'
_space_group_IT_number 115
_cell_length_a 4.712
_cell_length_b 4.712
_cell_length_c 11.772
_cell_angle_alpha 90.00
_cell_angle_beta 90.00
_cell_angle_gamma 90.00
loop_
_space_group_symop_operation_xyz
'x,y,z'
'y,-x,-z'
'-x,-y,z'
'-y,x,-z'
'-x,y,z'
'-y,-x,-z'
'x,-y,z'
'y,x,-z'
loop_
_atom_site_label
_atom_site_fract_x
_atom_site_fract_y
_atom_site_fract_z
Ba1 0.000 0.500 0.250
Al1 0.000 0.000 0.000
Al2 0.000 0.500 0.627
Al3 0.500 0.500 0.000
In1 0.000 0.500 0.864
In2 0.500 0.500 0.500
Ag1 0.000 0.000 0.500
```

Results
Crystal system: tetragonal
Formation energy: -24.9 kJ per mole of atoms

No. 11
# Ba2Al4InAg3

A geometry-optimized Ba2Al4InAg3 structure (GGA-PBE, the Alexandria database).

The structure in CIF format:
```
data_Ba2Al4InAg3
_space_group_name_H-M_alt 'P -4 m 2'
_space_group_IT_number 115
_cell_length_a 4.673
_cell_length_b 4.673
_cell_length_c 11.285
_cell_angle_alpha 90.00
_cell_angle_beta 90.00
_cell_angle_gamma 90.00
loop_
_space_group_symop_operation_xyz
'x,y,z'
'y,-x,-z'
'-x,-y,z'
'-y,x,-z'
'-x,y,z'
'-y,-x,-z'
'x,-y,z'
'y,x,-z'
loop_
_atom_site_label
_atom_site_fract_x
_atom_site_fract_y
_atom_site_fract_z
Ba1 0.000 0.500 0.246
Al1 0.000 0.000 0.000
Al2 0.000 0.500 0.639
Al3 0.500 0.500 0.000
In1 0.000 0.000 0.500
Ag1 0.000 0.500 0.878
Ag2 0.500 0.500 0.500
```

Results
Crystal system: tetragonal
Formation energy: -21.9 kJ per mole of atoms

No. 12
# Ba2LiAlAg6

A geometry-optimized Ba2LiAlAg6 structure (GGA-PBE, the Alexandria database).

The structure in CIF format:
```
data_Ba2LiAlAg6
_space_group_name_H-M_alt 'C 1 2/m 1'
_space_group_IT_number 12
_cell_length_a 12.191
_cell_length_b 7.040
_cell_length_c 7.253
_cell_angle_alpha 90.00
_cell_angle_beta 123.83
_cell_angle_gamma 90.00
loop_
_space_group_symop_operation_xyz
'x,y,z'
'-x,-y,-z'
'-x,y,-z'
'x,-y,z'
'x+1/2,y+1/2,z'
'-x+1/2,-y+1/2,-z'
'-x+1/2,y+1/2,-z'
'x+1/2,-y+1/2,z'
loop_
_atom_site_label
_atom_site_fract_x
_atom_site_fract_y
_atom_site_fract_z
Ba1 0.215 0.000 0.146
Li1 0.000 0.500 0.000
Al1 0.000 0.000 0.500
Ag1 0.049 0.297 0.348
Ag2 0.249 0.000 0.654
```

Results
Crystal system: monoclinic
Formation energy: -17.0 kJ per mole of atoms